Below is a PBEsol-optimized structure of CaNb2ReTc, with properties calculated at the meta-GGA SCAN level.

Computed properties:
Energy of formation from the pure elements   1.49 eV per atom
SG   P4/mmm
V   23.8 Å³/atom
Magnetic moment   0.4487 μB/atom
Density   7.109 g cm⁻³

Unit cell a=4.782 b=4.782 c=5.210 alpha=90.00 beta=90.00 gamma=90.00
Atoms (fractional coordinates):
1 Tc 0.500 0.500 0.500
2 Re 0.000 0.000 0.000
3 Nb 0.500 0.000 0.000
4 Nb 0.000 0.500 0.000
5 Ca 0.000 0.000 0.500